No. 1
VASP calculation (PBE) on an optimized crystal structure of CuNiAsW.

The structure belongs to space group F-43m (No. 216); the cell edges are 6.083, 6.083 and 6.083 Å and the angles 90.00°, 90.00° and 90.00°. Symmetry generates all atoms from Cu at (0.000, 0.000, 0.000), Ni at (0.000, 0.000, 0.500), As at (0.250, 0.250, 0.750) and W at (0.250, 0.250, 0.250).

Its raw total energy is -6.101 eV/atom. The calculated density comes out at 11.24 g cm⁻³.

***

No. 2
VASP calculation (PBE) on an optimized crystal structure of YCuNiAs.

The structure belongs to space group F-43m (No. 216); the cell edges are 6.459, 6.459 and 6.459 Å and the angles 90.00°, 90.00° and 90.00°. Symmetry generates all atoms from Y at (0.000, 0.000, 0.000), Cu at (0.000, 0.000, 0.500), Ni at (0.250, 0.250, 0.750) and As at (0.250, 0.250, 0.250).

Its raw total energy is -5.360 eV/atom. The calculated density comes out at 7.05 g cm⁻³.

***

No. 3
VASP calculation (PBE) on an optimized crystal structure of YCuNiAs.

The structure belongs to space group F-43m (No. 216); the cell edges are 6.401, 6.401 and 6.401 Å and the angles 90.00°, 90.00° and 90.00°. Symmetry generates all atoms from Y at (0.000, 0.000, 0.000), Cu at (0.250, 0.250, 0.750), Ni at (0.250, 0.250, 0.250) and As at (0.000, 0.000, 0.500).

Its raw total energy is -5.425 eV/atom. The calculated density comes out at 7.24 g cm⁻³.

***

No. 4
VASP calculation (PBE) on an optimized crystal structure of ZnCu4NiAs2.

The structure belongs to space group P4/mmm (No. 123); the cell edges are 4.240, 4.240 and 5.977 Å and the angles 90.00°, 90.00° and 90.00°. Symmetry generates all atoms from Zn at (0.000, 0.000, 0.000), Cu at (0.000, 0.500, 0.255), Ni at (0.500, 0.500, 0.500), As at (0.000, 0.000, 0.500) and As at (0.500, 0.500, 0.000).

Its raw total energy is -3.738 eV/atom. The calculated density comes out at 8.16 g cm⁻³.